[1]
## La3PbC (GGA-PBEsol)

Data for crystalline La3PbC at its relaxed geometry.

Results
Formation energy = -2.2 eV per formula unit
Space-group type = Pm-3m
Magnetic moment = 0.0 μB per formula unit

a b c (Å): 5.1673 5.1673 5.1673
angles (deg): 90.00 90.00 90.00
Last column: nearest neighbours and their distance in Å.
Positions (direct):
1 La 0.0000 0.5000 0.5000  2 C 2.58
2 La 0.5000 0.0000 0.5000  2 C 2.58
3 La 0.5000 0.5000 0.0000  2 C 2.58
4 Pb 0.0000 0.0000 0.0000  12 La 3.65
5 C 0.5000 0.5000 0.5000  6 La 2.58

---

[2]
## ScBe2Ir2 (GGA-PBEsol)

Data for crystalline ScBe2Ir2 at its relaxed geometry.

Results
Formation energy = -3.1 eV per formula unit
Space-group type = I4/mmm
Magnetic moment = 0.0 μB per formula unit
Polymorph energy (0 for the lowest one) = 112 meV per atom

a b c (Å): 4.0868 4.0868 4.9645
angles (deg): 114.31 114.31 90.00
Last column: nearest neighbours and their distance in Å.
Positions (direct):
1 Ir 0.7500 0.2500 0.5000  4 Be 2.23
2 Ir 0.2500 0.7500 0.5000  4 Be 2.23
3 Be 0.6409 0.6409 0.2819  4 Ir 2.23, 1 Be 2.28
4 Be 0.3591 0.3591 0.7181  4 Ir 2.23, 1 Be 2.28
5 Sc 0.0000 0.0000 0.0000  8 Ir 2.87, 10 Be 2.90-3.11

---

[3]
## SrBeSb (GGA-PBEsol)

Data for crystalline SrBeSb at its relaxed geometry.

Results
Space-group type = P-6m2
Magnetic moment = 0.0 μB per formula unit
Raw formation energy = -1.5 eV/f.u.

a b c (Å): 4.2063 4.2063 4.7086
angles (deg): 90.00 90.00 120.00
Last column: nearest neighbours and their distance in Å.
Positions (direct):
1 Sb 0.3333 0.6667 0.0000  3 Be 2.43
2 Be 0.0000 0.0000 0.0000  3 Sb 2.43
3 Sr 0.6667 0.3333 0.5000  6 Sb 3.38, 6 Be 3.38

---

[4]
## BaMnO2F (GGA-PBEsol)

Data for crystalline BaMnO2F at its relaxed geometry.

Results
Space-group type = P4/mmm
Magnetic moment = 5.3 μB per formula unit
Raw formation energy = -2.8 eV/f.u.

a b c (Å): 4.6952 4.6952 4.7727
angles (deg): 90.00 90.00 90.00
Last column: nearest neighbours and their distance in Å.
Positions (direct):
1 Mn 0.5000 0.5000 0.5000  4 F 3.32, 8 O 3.35
2 O 0.5000 0.0000 0.0000  2 Ba 2.35
3 O 0.0000 0.5000 0.0000  2 Ba 2.35
4 Ba 0.0000 0.0000 0.0000  4 O 2.35, 2 F 2.39
5 F 0.0000 0.0000 0.5000  2 Ba 2.39

---

[5]
## Li4Ti3Co3O12 (GGA-PBEsol)

Data for crystalline Li4Ti3Co3O12 at its relaxed geometry.

Results
Space-group type = P1
Magnetic moment = 1.0 μB per formula unit
Raw formation energy = -46.6 eV/f.u.

a b c (Å): 5.9614 7.8108 9.3325
angles (deg): 81.21 78.08 77.41
Last column: nearest neighbours and their distance in Å.
Positions (direct):
1 Ti 0.2056 0.0891 0.2668  6 O 1.89-2.11
2 Ti 0.1484 0.5698 0.7676  6 O 1.88-2.10
3 Ti 0.8349 0.9154 0.7632  6 O 1.91-2.04
4 Ti 0.4980 0.2476 0.7248  6 O 1.90-2.06
5 Ti 0.5134 0.7362 0.2366  6 O 1.91-2.09
6 Ti 0.8508 0.4096 0.2382  6 O 1.89-2.06
7 Li 0.0326 0.4997 0.4798  4 O 1.99-2.18
8 Li 0.0004 0.2403 0.7499  5 O 2.00-2.18
9 Li 0.6495 0.5836 0.7524  6 O 2.02-2.23
10 Li 0.7055 0.0710 0.2391  4 O 2.01-2.17
11 Li 0.3296 0.9126 0.7559  6 O 2.06-2.21
12 Li 0.6839 0.8321 0.4912  6 O 2.04-2.25
13 Li 0.0794 0.7915 0.0764  4 O 1.81-2.00
14 Li 0.6402 0.3388 0.9971  5 O 2.00-2.16
15 O 0.6150 0.0400 0.6256  2 Ti 1.92-2.02, 1 Co 1.94, 1 Li 2.12
16 O 0.7281 0.1229 0.8629  2 Ti 1.91-2.06, 1 Co 1.93, 1 Li 2.06
17 O 0.4202 0.9362 0.3759  2 Ti 1.90-2.09, 1 Co 1.93, 1 Li 2.04
18 O 0.2841 0.8936 0.1365  1 Li 1.81, 1 Co 1.90, 2 Ti 1.92-2.01
19 O 0.6224 0.3001 0.3883  2 Co 1.89-1.92, 1 Ti 1.97
20 O 0.2601 0.3878 0.6254  2 Ti 1.90-2.01, 1 Co 1.95, 1 Li 2.08
21 O 0.4318 0.1826 0.1201  1 Ti 1.89, 1 Co 1.90, 2 Li 2.00-2.12
22 O 0.3982 0.6937 0.6197  2 Co 1.92-1.95, 1 Li 2.10, 1 Ti 2.10
23 O 0.9379 0.7177 0.6308  1 Co 1.93, 2 Ti 2.03-2.04, 1 Li 2.16
24 O 0.7318 0.8721 0.1182  1 Ti 1.92, 2 Co 1.93-2.11, 2 Li 2.00-2.02
25 O 0.2796 0.6390 0.3923  2 Co 1.89-1.91, 1 Ti 1.98, 1 Li 1.99
26 O 0.9057 0.4509 0.8615  1 Ti 1.88, 3 Li 2.00-2.08, 1 Co 2.07
27 O 0.6046 0.5361 0.1288  2 Ti 1.91-1.96, 1 Co 1.95, 1 Li 2.06
28 O 0.0548 0.5371 0.0958  2 Co 1.89-1.92, 1 Ti 1.92, 1 Li 2.00
29 O 0.7436 0.3687 0.6122  2 Co 1.94, 1 Ti 1.95
30 O 0.2861 0.1304 0.8801  2 Co 1.92-1.95, 1 Ti 1.97, 1 Li 2.14
31 O 0.5858 0.8022 0.8804  2 Co 1.93-1.94, 1 Ti 1.95, 2 Li 2.07-2.15
32 O 0.7354 0.6118 0.3699  1 Co 1.91, 2 Ti 2.00-2.06
33 O 0.0669 0.0302 0.6218  2 Co 1.94-1.95, 1 Ti 1.97, 2 Li 2.10-2.17
34 O 0.9489 0.9714 0.3897  2 Co 1.90-1.94, 1 Ti 2.02, 1 Li 2.10
35 O 0.0703 0.7815 0.8698  2 Ti 1.92-1.96, 2 Li 1.95-2.06, 1 Co 1.98
36 O 0.0693 0.2888 0.3730  2 Ti 1.91-1.99, 1 Co 1.92, 1 Li 2.00
37 O 0.4039 0.4390 0.8620  1 Co 1.93, 2 Ti 1.93-2.03, 2 Li 2.03-2.05
38 O 0.9524 0.2082 0.1361  2 Ti 1.89-2.11, 1 Co 1.94, 1 Li 2.01
39 Co 0.8214 0.6606 0.9873  6 O 1.89-2.11
40 Co 0.1753 0.8328 0.5045  6 O 1.89-1.94
41 Co 0.5093 0.9985 0.9969  6 O 1.90-1.93
42 Co 0.5070 0.4979 0.4998  6 O 1.91-1.95
43 Co 0.8439 0.1668 0.5011  6 O 1.89-1.95
44 Co 0.1672 0.3307 0.9943  4 O 1.92-1.95

---

[6]
## KMg2As (GGA-PBEsol)

Data for crystalline KMg2As at its relaxed geometry.

Results
Formation energy = 0.0 eV per formula unit
Space-group type = F-43m
Magnetic moment = 0.0 μB per formula unit

a b c (Å): 5.1879 5.1879 5.1879
angles (deg): 60.00 60.00 60.00
Last column: nearest neighbours and their distance in Å.
Positions (direct):
1 As 0.5000 0.5000 0.5000  4 K 3.18, 4 Mg 3.18
2 Mg 0.7500 0.7500 0.7500  4 As 3.18, 4 Mg 3.18
3 Mg 0.0000 0.0000 0.0000  4 K 3.18, 4 Mg 3.18
4 K 0.2500 0.2500 0.2500  4 Mg 3.18, 4 As 3.18

---

[7]
## MgAgO3 (GGA-PBEsol)

Data for crystalline MgAgO3 at its relaxed geometry.

Results
Space-group type = Pm-3m
Magnetic moment = 3.0 μB per formula unit
Raw formation energy = -2.0 eV/f.u.

a b c (Å): 3.8899 3.8899 3.8899
angles (deg): 90.00 90.00 90.00
Last column: nearest neighbours and their distance in Å.
Positions (direct):
1 O 0.0000 0.5000 0.0000  2 Mg 1.94
2 O 0.0000 0.0000 0.5000  2 Mg 1.94
3 O 0.5000 0.0000 0.0000  2 Mg 1.94
4 Mg 0.0000 0.0000 0.0000  6 O 1.94
5 Ag 0.5000 0.5000 0.5000  12 O 2.75

---

[8]
## BeWCl2 (GGA-PBEsol)

Data for crystalline BeWCl2 at its relaxed geometry.

Results
Space-group type = F-43m
Magnetic moment = 3.8 μB per formula unit
Polymorph energy (0 for the lowest one) = 1551 meV per atom
Raw formation energy = 5.5 eV/f.u.

a b c (Å): 4.5281 4.5281 4.5281
angles (deg): 60.00 60.00 60.00
Last column: nearest neighbours and their distance in Å.
Positions (direct):
1 Cl 0.0000 0.0000 0.0000  4 Cl 2.77, 4 W 2.77
2 Cl 0.7500 0.7500 0.7500  4 Cl 2.77, 4 Be 2.77
3 W 0.2500 0.2500 0.2500  4 Cl 2.77, 4 Be 2.77
4 Be 0.5000 0.5000 0.5000  4 Cl 2.77, 4 W 2.77